Entry from Alexandria via LeMat-Bulk: a relaxed Mg2CoTeO6 crystal (PBE+U).

Values from the calculation:
- Energy: -5.5026 eV/atom

abc: 4.873 5.356 5.356
angles: 90.00 90.00 90.00
Each line ends with the local moment (μB).
Element x y z (fractional)
Mg: 0.922 0.500 0.000  0.00
Mg: 0.922 0.000 0.500  0.00
O: 0.217 0.000 0.000  -0.04
O: 0.745 0.748 0.748  0.01
O: 0.223 0.500 0.500  0.48
O: 0.745 0.252 0.748  0.01
O: 0.745 0.252 0.252  0.01
O: 0.745 0.748 0.252  0.01
Te: 0.604 0.000 0.000  -0.05
Co: 0.577 0.500 0.500  2.85